The following is a DFT calculation (PBE) of a relaxed structure of Pr8Sb4Te3As.

Computed properties:
Density of states at the Fermi level, states/eV/atom: 0.389
Formation energy without anion corrections, kJ/mol of atoms: -130.8

Cell: 9.0538 9.0538 22.1230 Å, 90.00 90.00 120.00°
Space group R-3m (No. 166, hexagonal axes)
One atom of each set of equivalent atoms:
Pr 0.0000 0.0000 0.2470 (multiplicity 6)
Pr 0.0119 0.5059 0.7496 (multiplicity 18)
Sb 0.0000 0.0000 0.5000 (multiplicity 3)
Sb 0.0000 0.5000 0.5000 (multiplicity 9)
Te 0.0000 0.5000 0.0000 (multiplicity 9)
As 0.0000 0.0000 0.0000 (multiplicity 3)

---

The following is a DFT calculation (PBE) of a relaxed structure of Pr8SbTe4As3.

Computed properties:
Density of states at the Fermi level, states/eV/atom: 0.419
Formation energy without anion corrections, kJ/mol of atoms: -143.8

Cell: 8.8452 8.8452 22.2085 Å, 90.00 90.00 120.00°
Space group R-3m (No. 166, hexagonal axes)
One atom of each set of equivalent atoms:
Pr 0.0000 0.0000 0.2403 (multiplicity 6)
Pr 0.0103 0.5051 0.7577 (multiplicity 18)
Sb 0.0000 0.0000 0.5000 (multiplicity 3)
Te 0.0000 0.0000 0.0000 (multiplicity 3)
Te 0.0000 0.5000 0.0000 (multiplicity 9)
As 0.0000 0.5000 0.5000 (multiplicity 9)

---

The following is a DFT calculation (PBE) of a relaxed structure of PrThSbAs.

Computed properties:
Density of states at the Fermi level, states/eV/atom: 0.758
Formation energy without anion corrections, kJ/mol of atoms: -113.8

Cell: 4.3435 4.3435 22.5182 Å, 90.00 90.00 120.00°
Space group R3m (No. 160, hexagonal axes)
One atom of each set of equivalent atoms:
Pr 0.0000 0.0000 0.0000 (multiplicity 3)
Th 0.0000 0.0000 0.1835 (multiplicity 3)
Sb 0.0000 0.0000 0.7606 (multiplicity 3)
As 0.0000 0.0000 0.5886 (multiplicity 3)

---

The following is a DFT calculation (PBE) of a relaxed structure of PrYSbAs.

Computed properties:
Density of states at the Fermi level, states/eV/atom: 0.166
Formation energy without anion corrections, kJ/mol of atoms: -128.6

Cell: 4.3328 4.3328 21.4107 Å, 90.00 90.00 120.00°
Space group R3m (No. 160, hexagonal axes)
One atom of each set of equivalent atoms:
Pr 0.0000 0.0000 0.0000 (multiplicity 3)
Y 0.0000 0.0000 0.4890 (multiplicity 3)
Sb 0.0000 0.0000 0.2408 (multiplicity 3)
As 0.0000 0.0000 0.7477 (multiplicity 3)

---

The following is a DFT calculation (PBE) of a relaxed structure of PrSmSc2As4.

Computed properties:
Density of states at the Fermi level, states/eV/atom: 0.119

Cell: 7.0314 4.0864 7.0724 Å, 90.00 109.59 90.00°
Space group P2/m (No. 10)
One atom of each set of equivalent atoms:
Pr 0.0000 0.0000 0.0000 (multiplicity 1)
Sm 0.0000 0.5000 0.5000 (multiplicity 1)
Sc 0.5000 0.0000 0.5000 (multiplicity 1)
Sc 0.5000 0.5000 0.0000 (multiplicity 1)
As 0.2727 0.0000 0.7550 (multiplicity 2)
As 0.2747 0.5000 0.2609 (multiplicity 2)

---

The following is a DFT calculation (PBE) of a relaxed structure of TbPr2ScAs4.

Computed properties:
Density of states at the Fermi level, states/eV/atom: 0.094

Cell: 7.2013 4.1733 7.2169 Å, 90.00 109.53 90.00°
Space group P2/m (No. 10)
One atom of each set of equivalent atoms:
Tb 0.0000 0.0000 0.0000 (multiplicity 1)
Pr 0.5000 0.0000 0.5000 (multiplicity 1)
Pr 0.5000 0.5000 0.0000 (multiplicity 1)
Sc 0.0000 0.5000 0.5000 (multiplicity 1)
As 0.2295 0.0000 0.7364 (multiplicity 2)
As 0.2345 0.5000 0.2517 (multiplicity 2)

---

no.,total magnetization (μB per formula unit),E (eV per atom)
1,0.0,-5.66
2,0.0,-5.79
3,0.0,-6.42
4,0.0,-6.34
5,0.0,-6.51
6,0.0,-6.34